RuPt2Br (GGA-PBE, relaxed); density = 14.04 g cm⁻³; total DFT energy (no corrections) = -5.31 eV/atom; formation energy (no corrections) = 0.445 eV/atom; energy above the most stable polymorph in this dataset = 0.27 eV per formula unit
1.0
2.9081 0.0000 0.0000
-1.4540 2.5185 0.0000
0.0000 0.0000 27.6691
Ru Pt Br
3 6 3
Direct
0.0000 0.0000 0.0000 Ru
0.3333 0.6667 0.6667 Ru
0.6667 0.3333 0.3333 Ru
0.0000 0.0000 0.4913 Pt
0.0000 0.0000 0.7424 Pt
0.3333 0.6667 0.1579 Pt
0.3333 0.6667 0.4091 Pt
0.6667 0.3333 0.0757 Pt
0.6667 0.3333 0.8246 Pt
0.0000 0.0000 0.2610 Br
0.3333 0.6667 0.9276 Br
0.6667 0.3333 0.5943 Br

RuPt2Br (GGA-PBE, relaxed); density = 13.72 g cm⁻³; total DFT energy (no corrections) = -5.27 eV/atom; formation energy (no corrections) = 0.490 eV/atom; energy above the most stable polymorph in this dataset = 0.45 eV per formula unit
1.0
2.9564 0.0000 0.0000
0.0000 2.9564 0.0000
0.0000 0.0000 7.9102
Ru Pt Br
1 2 1
Direct
0.0000 0.0000 0.0000 Ru
0.0000 0.0000 0.5573 Pt
0.5000 0.5000 0.7885 Pt
0.5000 0.5000 0.2256 Br

RuPtBr6 (GGA-PBE, relaxed); density = 4.85 g cm⁻³; total DFT energy (no corrections) = -3.37 eV/atom; formation energy (no corrections) = -0.204 eV/atom
1.0
7.2829 0.0000 0.0000
0.0000 11.3599 0.0000
-3.5610 0.0000 6.4139
Ru Pt Br
2 2 12
Direct
0.0000 0.0000 0.0000 Ru
0.5000 0.5000 0.0000 Ru
0.0000 0.5000 0.5000 Pt
0.5000 0.0000 0.5000 Pt
0.1926 0.0000 0.8058 Br
0.2397 0.3523 0.7427 Br
0.2397 0.6477 0.7427 Br
0.2603 0.1477 0.2573 Br
0.2603 0.8523 0.2573 Br
0.3074 0.5000 0.1942 Br
0.6926 0.5000 0.8058 Br
0.7397 0.1477 0.7427 Br
0.7397 0.8523 0.7427 Br
0.7603 0.3523 0.2573 Br
0.7603 0.6477 0.2573 Br
0.8074 0.0000 0.1942 Br

RuPt2Br (GGA-PBE, relaxed); density = 13.09 g cm⁻³; total DFT energy (no corrections) = -5.22 eV/atom; formation energy (no corrections) = 0.540 eV/atom; energy above the most stable polymorph in this dataset = 0.65 eV per formula unit
1.0
2.7609 0.0000 0.0000
0.0000 4.8667 0.0000
0.0000 0.0000 10.7825
Ru Pt Br
2 4 2
Direct
0.0000 0.0000 0.0000 Ru
0.5000 0.5000 0.0000 Ru
0.0000 0.5000 0.2125 Pt
0.0000 0.5000 0.7875 Pt
0.5000 0.0000 0.2125 Pt
0.5000 0.0000 0.7875 Pt
0.0000 0.0000 0.5000 Br
0.5000 0.5000 0.5000 Br

RuPt2Br (GGA-PBE, relaxed); density = 14.25 g cm⁻³; total DFT energy (no corrections) = -5.00 eV/atom; formation energy (no corrections) = 0.762 eV/atom; energy above the most stable polymorph in this dataset = 1.54 eV per formula unit
1.0
6.4323 0.0000 0.0000
0.0000 6.4323 0.0000
0.0000 0.0000 6.4323
Ru Pt Br
4 8 4
Direct
0.0000 0.0000 0.0000 Ru
0.0000 0.5000 0.5000 Ru
0.5000 0.0000 0.5000 Ru
0.5000 0.5000 0.0000 Ru
0.0000 0.0000 0.5000 Pt
0.0000 0.5000 0.0000 Pt
0.2500 0.2500 0.2500 Pt
0.2500 0.7500 0.7500 Pt
0.5000 0.0000 0.0000 Pt
0.5000 0.5000 0.5000 Pt
0.7500 0.2500 0.7500 Pt
0.7500 0.7500 0.2500 Pt
0.2500 0.2500 0.7500 Br
0.2500 0.7500 0.2500 Br
0.7500 0.2500 0.2500 Br
0.7500 0.7500 0.7500 Br

RuPt2Br (GGA-PBE, relaxed); density = 12.37 g cm⁻³; total DFT energy (no corrections) = -5.31 eV/atom; formation energy (no corrections) = 0.444 eV/atom; energy above the most stable polymorph in this dataset = 0.27 eV per formula unit
1.0
2.7736 0.0000 0.0000
0.0000 2.7736 0.0000
0.0000 0.0000 9.9696
Ru Pt Br
1 2 1
Direct
0.0000 0.0000 0.0000 Ru
0.5000 0.5000 0.1855 Pt
0.5000 0.5000 0.8145 Pt
0.0000 0.0000 0.5000 Br

RuPt4Br (GGA-PBE, relaxed); density = 14.85 g cm⁻³; total DFT energy (no corrections) = -5.17 eV/atom; formation energy (no corrections) = 0.685 eV/atom
1.0
0.0000 3.7736 3.7736
3.7736 0.0000 3.7736
3.7736 3.7736 0.0000
Ru Pt Br
1 4 1
Direct
0.0000 0.0000 0.0000 Ru
0.3746 0.3746 0.3746 Pt
0.3746 0.3746 0.8763 Pt
0.3746 0.8763 0.3746 Pt
0.8763 0.3746 0.3746 Pt
0.7500 0.7500 0.7500 Br

RuPtSe2Br (GGA-PBE, relaxed); density = 7.67 g cm⁻³; total DFT energy (no corrections) = -3.94 eV/atom; formation energy (no corrections) = 0.850 eV/atom; energy above the most stable polymorph in this dataset = 0.00 eV per formula unit
1.0
4.7412 0.0000 0.0000
0.0000 4.7412 0.0000
0.0000 0.0000 5.1431
Ru Pt Se Br
1 1 2 1
Direct
0.0000 0.0000 0.0000 Ru
0.5000 0.5000 0.5000 Pt
0.0000 0.5000 0.0000 Se
0.5000 0.0000 0.0000 Se
0.0000 0.0000 0.5000 Br

Sm8Ru3PtBr4 (GGA-PBE, relaxed); density = 7.53 g cm⁻³; total DFT energy (no corrections) = -5.81 eV/atom; formation energy (no corrections) = -0.914 eV/atom
1.0
4.0638 2.3462 7.7926
-4.0638 2.3462 7.7926
0.0000 -4.6925 7.7926
Sm Ru Pt Br
8 3 1 4
Direct
0.2212 0.7374 0.7374 Sm
0.2329 0.2329 0.2329 Sm
0.2626 0.2626 0.7788 Sm
0.2626 0.7788 0.2626 Sm
0.7374 0.2212 0.7374 Sm
0.7374 0.7374 0.2212 Sm
0.7671 0.7671 0.7671 Sm
0.7788 0.2626 0.2626 Sm
0.0000 0.0000 0.5000 Ru
0.0000 0.5000 0.0000 Ru
0.5000 0.0000 0.0000 Ru
0.5000 0.5000 0.5000 Pt
0.0000 0.0000 0.0000 Br
0.0000 0.5000 0.5000 Br
0.5000 0.0000 0.5000 Br
0.5000 0.5000 0.0000 Br

Sm4RuPtBr2 (GGA-PBE, relaxed); density = 7.75 g cm⁻³; total DFT energy (no corrections) = -5.74 eV/atom; formation energy (no corrections) = -1.050 eV/atom
1.0
7.1187 0.0000 0.0000
0.0000 4.1114 0.0000
-2.3570 0.0000 7.7392
Sm Ru Pt Br
4 1 1 2
Direct
0.2226 0.0000 0.1973 Sm
0.2576 0.5000 0.8057 Sm
0.7424 0.5000 0.1943 Sm
0.7774 0.0000 0.8027 Sm
0.0000 0.5000 0.0000 Ru
0.5000 0.0000 0.0000 Pt
0.0000 0.0000 0.5000 Br
0.5000 0.5000 0.5000 Br

ZnRuPtBr2 (GGA-PBE, relaxed); density = 7.41 g cm⁻³; total DFT energy (no corrections) = -3.04 eV/atom; formation energy (no corrections) = 0.948 eV/atom
1.0
4.8521 0.0000 0.0000
0.0000 4.8521 0.0000
0.0000 0.0000 4.9599
Zn Ru Pt Br
1 1 1 2
Direct
0.0000 0.0000 0.0000 Zn
0.0000 0.0000 0.5000 Ru
0.5000 0.5000 0.0000 Pt
0.0000 0.5000 0.5000 Br
0.5000 0.0000 0.5000 Br

PtSBr (GGA-PBE, relaxed); density = 7.69 g cm⁻³; total DFT energy (no corrections) = -4.03 eV/atom; formation energy (no corrections) = -0.079 eV/atom
1.0
3.6763 0.0000 0.0000
-1.8382 3.1838 0.0000
0.0000 0.0000 5.6677
Pt S Br
1 1 1
Direct
0.0000 0.0000 0.0000 Pt
0.6667 0.3333 0.1932 S
0.3333 0.6667 0.6999 Br